Density functional theory data (PBE-GGA) for a geometry-optimized SrCa2Br structure.

Properties
formation energy (no corrections) = -0.435 eV per atom
symmetry = C2/m, No. 12
total magnetic moment = 0.00 μB per cell
E = -2.275 eV/atom
energy above the most stable polymorph in this dataset = 221 meV/atom

Cell lengths 7.4639, 7.4639, 3.9555 Å; angles 104.18, 104.18, 122.00 degrees
Fractional coordinates of all 4 atoms:
Sr (0.0000, 0.0000, 0.0000)
Ca (0.0000, 0.5000, 0.5000)
Ca (0.5000, 0.0000, 0.5000)
Br (0.5000, 0.5000, 0.0000)